Compound: FeReCl2
Source: Alexandria
Functional: PBE
Structure: relaxed

The density of states at the Fermi level is 1.9 states/eV/cell. For the relative energy among the computed polymorphs, the calculation gives 0.1966 eV per atom. Its total energy is -23.86 eV for the cell shown. For the raw formation energy, the calculation gives 0.19 eV per atom. Its total magnetization is 0.263 μB/atom.

The space group is P4mm (No. 99) and the conventional cell measures 2.9104, 2.9104 and 8.3538 Å, with angles of 90.00, 90.00 and 90.00 degrees. The inequivalent atoms are Fe at (0.0000, 0.0000, 0.0000), Re at (0.5000, 0.5000, 0.1832), Cl at (0.0000, 0.0000, 0.3877) and Cl at (0.5000, 0.5000, 0.8148).